! PBE-GGA K3U2CuTe6, optimized geometry; values from VASP
! **Calculated volume**: 35.0 Å³ per atom
! **VASP energy**: -4.78 eV/atom
! **Energy relative to the elements, uncorrected**: -0.71 eV per atom
! **Magnetization**: 4.00 μB per formula unit
&SYSTEM
  ibrav = 0, nat = 12, ntyp = 4
/
ATOMIC_SPECIES
Te 127.60 Te.upf
K 39.10 K.upf
Cu 63.55 Cu.upf
U 238.03 U.upf
ATOMIC_POSITIONS crystal
Te 0.0669 0.3917 0.2001
Te 0.6083 0.9331 0.7999
Te 0.9331 0.6083 0.7999
Te 0.7409 0.7409 0.2020
Te 0.3917 0.0669 0.2001
Te 0.2591 0.2591 0.7980
K 0.1683 0.8317 0.5000
K 0.5000 0.5000 0.5000
K 0.8317 0.1683 0.5000
Cu 0.0000 0.0000 0.0000
U 0.3335 0.6665 0.0000
U 0.6665 0.3335 0.0000
CELL_PARAMETERS angstrom
-0.3364 0.2331 7.6782
0.7349 -6.7524 -3.6038
8.0209 2.8852 -1.0248

! PBE-GGA CaTa2, optimized geometry; values from VASP
! **ΔE to the lowest computed polymorph**: 33 meV per atom
! **Energy relative to the elements**: 0.443 eV per atom
! **Calculated volume**: 27.6 Å³ per atom
! **VASP energy**: -8.13 eV/atom
! **Magnetization**: 0.00 μB per formula unit
&SYSTEM
  ibrav = 0, nat = 6, ntyp = 2
/
ATOMIC_SPECIES
Ta 180.95 Ta.upf
Ca 40.08 Ca.upf
ATOMIC_POSITIONS crystal
Ta 0.5465 0.4535 0.2500
Ta 0.0562 0.9438 0.7500
Ta 0.4535 0.5465 0.7500
Ta 0.9438 0.0562 0.2500
Ca 0.1811 0.8189 0.2500
Ca 0.8189 0.1811 0.7500
CELL_PARAMETERS angstrom
-8.5259 4.9187 5.3797
6.3535 -4.5940 -8.0221
-1.6856 -3.9117 0.9051

! PBE-GGA NaMgCu, optimized geometry; values from VASP
! **Energy relative to the elements**: 0.060 eV per atom
! **Calculated volume**: 20.6 Å³ per atom
! **VASP energy**: -2.28 eV/atom
! **Magnetization**: 0.00 μB per formula unit
&SYSTEM
  ibrav = 0, nat = 6, ntyp = 3
/
ATOMIC_SPECIES
Cu 63.55 Cu.upf
Mg 24.30 Mg.upf
Na 22.99 Na.upf
ATOMIC_POSITIONS crystal
Cu 0.2500 0.7500 0.5000
Cu 0.7500 0.2500 0.5000
Mg 0.8286 0.8286 0.6572
Mg 0.1714 0.1714 0.3428
Na 0.6631 0.3369 0.0000
Na 0.3369 0.6631 0.0000
CELL_PARAMETERS angstrom
-0.3543 -4.2296 -3.2562
2.5016 -0.1261 4.7270
-5.4956 0.7755 1.5673

! PBE-GGA ThTiRh2, optimized geometry; values from VASP
! **ΔE to the lowest computed polymorph**: 0 meV per atom
! **Energy relative to the elements**: -0.744 eV per atom
! **Calculated volume**: 19.9 Å³ per atom
! **VASP energy**: -8.25 eV/atom
! **Magnetization**: 0.00 μB per formula unit
&SYSTEM
  ibrav = 0, nat = 4, ntyp = 3
/
ATOMIC_SPECIES
Rh 102.91 Rh.upf
Th 232.04 Th.upf
Ti 47.87 Ti.upf
ATOMIC_POSITIONS crystal
Rh 0.7191 0.7191 0.8427
Rh 0.2809 0.2809 0.1573
Th 0.5000 0.5000 0.5000
Ti 0.0000 0.0000 0.0000
CELL_PARAMETERS angstrom
4.2491 0.0000 0.0000
2.1246 3.6799 0.0000
2.1246 1.2266 5.0983

! PBE-GGA CuGeN2, optimized geometry; values from VASP
! **Calculated volume**: 10.1 Å³ per atom
! **VASP energy**: -5.63 eV/atom
! **Energy relative to the elements, uncorrected**: 0.72 eV per atom
! **Magnetization**: 0.00 μB per formula unit
&SYSTEM
  ibrav = 0, nat = 8, ntyp = 3
/
ATOMIC_SPECIES
N 14.01 N.upf
Cu 63.55 Cu.upf
Ge 72.64 Ge.upf
ATOMIC_POSITIONS crystal
N 0.4651 0.5349 0.3632
N 0.5349 0.4651 0.6368
N 0.4651 0.5349 0.1368
N 0.5349 0.4651 0.8632
Cu 0.0000 0.0000 0.0000
Cu 0.0000 0.0000 0.5000
Ge 0.7745 0.2255 0.2500
Ge 0.2255 0.7745 0.7500
CELL_PARAMETERS angstrom
-1.4934 -0.6555 2.5163
-0.8727 -0.8697 -2.7338
5.7562 -9.0793 1.0509

! PBE-GGA Ho2ZrRh, optimized geometry; values from VASP
! **ΔE to the lowest computed polymorph**: 373 meV per atom
! **Energy relative to the elements**: 0.004 eV per atom
! **Calculated volume**: 24.9 Å³ per atom
! **VASP energy**: -6.26 eV/atom
! **Magnetization**: 0.00 μB per formula unit
&SYSTEM
  ibrav = 0, nat = 4, ntyp = 3
/
ATOMIC_SPECIES
Ho 164.93 Ho.upf
Rh 102.91 Rh.upf
Zr 91.22 Zr.upf
ATOMIC_POSITIONS crystal
Ho 0.8979 0.8979 0.3064
Ho 0.1021 0.1021 0.6936
Rh 0.5000 0.5000 0.5000
Zr 0.0000 0.0000 0.0000
CELL_PARAMETERS angstrom
-1.5626 0.0752 -2.9552
-1.5017 -2.7499 -1.1676
-9.7606 1.8888 3.3174

! PBE-GGA RbLaReRh2, optimized geometry; values from VASP
! **ΔE to the lowest computed polymorph**: 1381 meV per atom
! **Energy relative to the elements**: 2.010 eV per atom
! **Calculated volume**: 27.5 Å³ per atom
! **VASP energy**: -4.60 eV/atom
! **Magnetization**: 0.09 μB per formula unit
&SYSTEM
  ibrav = 0, nat = 5, ntyp = 4
/
ATOMIC_SPECIES
Rh 102.91 Rh.upf
Rb 85.47 Rb.upf
Re 186.21 Re.upf
La 138.91 La.upf
ATOMIC_POSITIONS crystal
Rh 0.0000 0.0000 0.5000
Rh 0.5000 0.0000 0.0000
Rb 0.0000 0.5000 0.0000
Re 0.5000 0.5000 0.5000
La 0.0000 0.0000 0.0000
CELL_PARAMETERS angstrom
4.9077 0.0000 0.0000
0.0000 5.7169 0.0000
0.0000 0.0000 4.9077

! PBE-GGA DyCdAs2, optimized geometry; values from VASP
! **Energy relative to the elements**: -0.568 eV per atom
! **Calculated volume**: 24.1 Å³ per atom
! **VASP energy**: -4.27 eV/atom
! **Magnetization**: 0.00 μB per formula unit
&SYSTEM
  ibrav = 0, nat = 4, ntyp = 3
/
ATOMIC_SPECIES
As 74.92 As.upf
Cd 112.41 Cd.upf
Dy 162.50 Dy.upf
ATOMIC_POSITIONS crystal
As 0.7496 0.7496 0.7512
As 0.2504 0.2504 0.2488
Cd 0.0000 0.0000 0.0000
Dy 0.5000 0.5000 0.5000
CELL_PARAMETERS angstrom
-3.7296 -1.5479 1.1905
-0.5666 -4.1639 0.2547
0.4380 -1.7911 6.4869

! PBE-GGA AlFe2Br, optimized geometry; values from VASP
! **ΔE to the lowest computed polymorph**: 265 meV per atom
! **Calculated volume**: 15.4 Å³ per atom
! **VASP energy**: -5.20 eV/atom
! **Energy relative to the elements, uncorrected**: 0.38 eV per atom
! **Magnetization**: 5.01 μB per formula unit
&SYSTEM
  ibrav = 0, nat = 4, ntyp = 3
/
ATOMIC_SPECIES
Fe 55.84 Fe.upf
Al 26.98 Al.upf
Br 79.90 Br.upf
ATOMIC_POSITIONS crystal
Fe 0.9988 0.9988 0.9988
Fe 0.5012 0.5012 0.5012
Al 0.2500 0.2500 0.2500
Br 0.7500 0.7500 0.7500
CELL_PARAMETERS angstrom
8.2093 0.0143 0.0084
7.6640 2.9422 0.0084
7.6640 1.4274 2.5727

! PBE-GGA In5GaHg8, optimized geometry; values from VASP
! **Energy relative to the elements**: 0.017 eV per atom
! **Calculated volume**: 26.5 Å³ per atom
! **VASP energy**: -1.35 eV/atom
! **Magnetization**: 0.00 μB per formula unit
&SYSTEM
  ibrav = 0, nat = 14, ntyp = 3
/
ATOMIC_SPECIES
Hg 200.59 Hg.upf
In 114.82 In.upf
Ga 69.72 Ga.upf
ATOMIC_POSITIONS crystal
Hg 0.1221 0.7297 0.0145
Hg 0.6106 0.3975 0.8728
Hg 0.2847 0.2703 0.3924
Hg 0.6076 0.8924 0.8779
Hg 0.1272 0.7378 0.5247
Hg 0.4753 0.6025 0.2131
Hg 0.9855 0.1076 0.7153
Hg 0.7869 0.2622 0.3894
In 0.7526 0.6423 0.6288
In 0.8897 0.8762 0.2474
In 0.3712 0.1238 0.0135
In 0.9865 0.3577 0.1103
In 0.5000 0.0000 0.5000
Ga 0.2500 0.5000 0.7500
CELL_PARAMETERS angstrom
7.8386 0.0287 -0.0494
-2.6253 7.3860 0.0494
-2.5881 -3.7204 6.3959

! PBE-GGA Ce8Os3Au2, optimized geometry; values from VASP
! **ΔE to the lowest computed polymorph**: 50 meV per atom
! **Energy relative to the elements**: -0.164 eV per atom
! **Calculated volume**: 30.3 Å³ per atom
! **VASP energy**: -6.91 eV/atom
! **Magnetization**: 5.93 μB per formula unit
&SYSTEM
  ibrav = 0, nat = 13, ntyp = 3
/
ATOMIC_SPECIES
Ce 140.12 Ce.upf
Os 190.23 Os.upf
Au 196.97 Au.upf
ATOMIC_POSITIONS crystal
Ce 0.0962 0.8909 0.7818
Ce 0.5962 0.1340 0.7793
Ce 0.9038 0.1091 0.2182
Ce 0.5962 0.6453 0.7793
Ce 0.9290 0.6121 0.2242
Ce 0.4038 0.3547 0.2207
Ce 0.4038 0.8660 0.2207
Ce 0.0710 0.3879 0.7758
Os 0.5000 0.0000 0.0000
Os 0.0000 0.2539 0.0000
Os 0.0000 0.7461 0.0000
Au 0.6720 0.7453 0.4905
Au 0.3280 0.2547 0.5095
CELL_PARAMETERS angstrom
-3.0659 -6.2203 0.3897
5.9078 -3.1828 -4.3247
1.6868 2.2884 7.9888

! PBE-GGA Y3P4Rh13, optimized geometry; values from VASP
! **Energy relative to the elements**: -0.710 eV per atom
! **Calculated volume**: 16.3 Å³ per atom
! **VASP energy**: -7.54 eV/atom
! **Magnetization**: 0.00 μB per formula unit
&SYSTEM
  ibrav = 0, nat = 40, ntyp = 3
/
ATOMIC_SPECIES
Y 88.91 Y.upf
P 30.97 P.upf
Rh 102.91 Rh.upf
ATOMIC_POSITIONS crystal
Y 0.5000 0.0000 0.7500
Y 0.0000 0.2500 0.5000
Y 0.5000 0.0000 0.2500
Y 0.0000 0.7500 0.5000
Y 0.2500 0.5000 0.0000
Y 0.7500 0.5000 0.0000
P 0.2500 0.2500 0.2500
P 0.2500 0.7500 0.2500
P 0.2500 0.7500 0.7500
P 0.7500 0.2500 0.7500
P 0.7500 0.7500 0.7500
P 0.7500 0.7500 0.2500
P 0.7500 0.2500 0.2500
P 0.2500 0.2500 0.7500
Rh 0.7716 0.5000 0.6578
Rh 0.0000 0.2716 0.8422
Rh 0.1578 0.0000 0.2716
Rh 0.0000 0.2716 0.1578
Rh 0.6578 0.7716 0.5000
Rh 0.1578 0.0000 0.7284
Rh 0.3422 0.2284 0.5000
Rh 0.7716 0.5000 0.3422
Rh 0.2716 0.1578 0.0000
Rh 0.6578 0.2284 0.5000
Rh 0.5000 0.3422 0.7716
Rh 0.2284 0.5000 0.6578
Rh 0.7284 0.1578 0.0000
Rh 0.8422 0.0000 0.2716
Rh 0.5000 0.6578 0.2284
Rh 0.5000 0.6578 0.7716
Rh 0.2716 0.8422 0.0000
Rh 0.0000 0.7284 0.8422
Rh 0.7284 0.8422 0.0000
Rh 0.3422 0.7716 0.5000
Rh 0.0000 0.7284 0.1578
Rh 0.2284 0.5000 0.3422
Rh 0.5000 0.5000 0.5000
Rh 0.0000 0.0000 0.0000
Rh 0.8422 0.0000 0.7284
Rh 0.5000 0.3422 0.2284
CELL_PARAMETERS angstrom
8.6724 0.0000 0.0000
0.0000 8.6724 0.0000
0.0000 0.0000 8.6724

! PBE-GGA TcAgRu2, optimized geometry; values from VASP
! **ΔE to the lowest computed polymorph**: 79 meV per atom
! **Energy relative to the elements**: 0.274 eV per atom
! **Calculated volume**: 15.1 Å³ per atom
! **VASP energy**: -7.67 eV/atom
! **Magnetization**: 0.00 μB per formula unit
&SYSTEM
  ibrav = 0, nat = 4, ntyp = 3
/
ATOMIC_SPECIES
Ag 107.87 Ag.upf
Ru 101.07 Ru.upf
Tc 98.00 Tc.upf
ATOMIC_POSITIONS crystal
Ag 0.7496 0.7496 0.7496
Ru 0.2497 0.2497 0.2497
Ru 0.9939 0.9939 0.9939
Tc 0.5068 0.5068 0.5068
CELL_PARAMETERS angstrom
-7.6894 -2.7487 -4.5389
-8.4927 -3.3514 -1.9811
-8.8240 -0.8058 -2.9614

! PBE-GGA CaPt4Pb, optimized geometry; values from VASP
! **Energy relative to the elements**: -0.602 eV per atom
! **Calculated volume**: 19.2 Å³ per atom
! **VASP energy**: -5.58 eV/atom
! **Magnetization**: 0.00 μB per formula unit
&SYSTEM
  ibrav = 0, nat = 6, ntyp = 3
/
ATOMIC_SPECIES
Pt 195.08 Pt.upf
Ca 40.08 Ca.upf
Pb 207.20 Pb.upf
ATOMIC_POSITIONS crystal
Pt 0.6251 0.6251 0.1246
Pt 0.6251 0.1246 0.6251
Pt 0.1246 0.6251 0.6251
Pt 0.6251 0.6251 0.6251
Ca 0.2500 0.2500 0.2500
Pb 0.0000 0.0000 0.0000
CELL_PARAMETERS angstrom
5.4632 0.0000 0.0000
2.7316 4.7313 0.0000
2.7316 1.5771 4.4607

! PBE-GGA MnTc2Ag, optimized geometry; values from VASP
! **ΔE to the lowest computed polymorph**: 167 meV per atom
! **Energy relative to the elements**: 0.412 eV per atom
! **Calculated volume**: 15.1 Å³ per atom
! **VASP energy**: -7.78 eV/atom
! **Magnetization**: 2.32 μB per formula unit
&SYSTEM
  ibrav = 0, nat = 4, ntyp = 3
/
ATOMIC_SPECIES
Tc 98.00 Tc.upf
Ag 107.87 Ag.upf
Mn 54.94 Mn.upf
ATOMIC_POSITIONS crystal
Tc 0.4704 0.4704 0.0000
Tc 0.0296 0.0296 0.0000
Ag 0.7500 0.2500 0.5000
Mn 0.2500 0.7500 0.5000
CELL_PARAMETERS angstrom
5.4222 0.0352 -0.0442
2.8224 4.6298 0.0442
-3.5742 -3.3011 2.3939

! PBE-GGA V2GaSi, optimized geometry; values from VASP
! **Calculated volume**: 15.2 Å³ per atom
! **VASP energy**: -6.64 eV/atom
! **Energy relative to the elements, uncorrected**: 0.03 eV per atom
! **Magnetization**: 0.00 μB per formula unit
&SYSTEM
  ibrav = 0, nat = 4, ntyp = 3
/
ATOMIC_SPECIES
Ga 69.72 Ga.upf
Si 28.09 Si.upf
V 50.94 V.upf
ATOMIC_POSITIONS crystal
Ga 0.4992 0.4992 0.5025
Si 0.6671 0.6671 0.9987
V 0.0723 0.0723 0.7830
V 0.2614 0.2614 0.2158
CELL_PARAMETERS angstrom
-0.1548 1.2878 -2.9794
0.5485 -1.8625 -2.6056
-6.3405 -1.6725 -2.1655

! PBE-GGA Ta2HN, optimized geometry; values from VASP
! **ΔE to the lowest computed polymorph**: 0 meV per atom
! **Calculated volume**: 10.4 Å³ per atom
! **VASP energy**: -9.48 eV/atom
! **Magnetization**: 0.00 μB per formula unit
&SYSTEM
  ibrav = 0, nat = 4, ntyp = 3
/
ATOMIC_SPECIES
Ta 180.95 Ta.upf
N 14.01 N.upf
H 1.01 H.upf
ATOMIC_POSITIONS crystal
Ta 0.2526 0.2526 0.2422
Ta 0.7474 0.7474 0.7578
N 0.5000 0.5000 0.5000
H 0.0000 0.0000 0.0000
CELL_PARAMETERS angstrom
2.9926 0.0000 0.0000
1.4963 2.5916 0.0000
1.4963 0.8639 5.3528

! PBE-GGA Sm4CdGa12, optimized geometry; values from VASP
! **Energy relative to the elements**: -0.508 eV per atom
! **Calculated volume**: 20.5 Å³ per atom
! **VASP energy**: -3.81 eV/atom
! **Magnetization**: 0.00 μB per formula unit
&SYSTEM
  ibrav = 0, nat = 17, ntyp = 3
/
ATOMIC_SPECIES
Ga 69.72 Ga.upf
Sm 150.36 Sm.upf
Cd 112.41 Cd.upf
ATOMIC_POSITIONS crystal
Ga 0.3144 0.3144 0.0000
Ga 0.0000 0.6856 0.6856
Ga 0.2500 0.5000 0.7500
Ga 0.6856 0.6856 0.0000
Ga 0.5000 0.2500 0.7500
Ga 0.5000 0.7500 0.2500
Ga 0.0000 0.3144 0.3144
Ga 0.7500 0.5000 0.2500
Ga 0.6856 0.0000 0.6856
Ga 0.7500 0.2500 0.5000
Ga 0.3144 0.0000 0.3144
Ga 0.2500 0.7500 0.5000
Sm 0.0000 0.5000 0.0000
Sm 0.5000 0.5000 0.5000
Sm 0.5000 0.0000 0.0000
Sm 0.0000 0.0000 0.5000
Cd 0.0000 0.0000 0.0000
CELL_PARAMETERS angstrom
-0.0920 -5.6029 -5.2448
4.7434 -1.9261 5.7183
-7.0806 1.0167 2.7820

! PBE-GGA PmHoCuGe, optimized geometry; values from VASP
! **Energy relative to the elements**: -0.480 eV per atom
! **Calculated volume**: 22.5 Å³ per atom
! **VASP energy**: -4.99 eV/atom
! **Magnetization**: 0.00 μB per formula unit
&SYSTEM
  ibrav = 0, nat = 4, ntyp = 4
/
ATOMIC_SPECIES
Pm 145.00 Pm.upf
Ho 164.93 Ho.upf
Cu 63.55 Cu.upf
Ge 72.64 Ge.upf
ATOMIC_POSITIONS crystal
Pm 0.0000 0.0000 0.0000
Ho 0.5000 0.5000 0.5000
Cu 0.7500 0.7500 0.7500
Ge 0.2500 0.2500 0.2500
CELL_PARAMETERS angstrom
-1.9662 1.9411 4.2019
-4.9318 -0.4132 0.8925
-1.6490 -3.0468 3.6452

! PBE-GGA Tb2Pm4SmEr2, optimized geometry; values from VASP
! **Energy relative to the elements**: 0.018 eV per atom
! **Calculated volume**: 32.8 Å³ per atom
! **VASP energy**: -4.66 eV/atom
! **Magnetization**: 0.00 μB per formula unit
&SYSTEM
  ibrav = 0, nat = 9, ntyp = 4
/
ATOMIC_SPECIES
Pm 145.00 Pm.upf
Er 167.26 Er.upf
Tb 158.93 Tb.upf
Sm 150.36 Sm.upf
ATOMIC_POSITIONS crystal
Pm 0.4454 0.8909 0.6684
Pm 0.2227 0.4454 0.3316
Pm 0.7773 0.5546 0.6684
Pm 0.5546 0.1091 0.3316
Er 0.3321 0.6642 0.0004
Er 0.6679 0.3358 0.9996
Tb 0.1115 0.2230 0.6682
Tb 0.8885 0.7770 0.3318
Sm 0.0000 0.0000 0.0000
CELL_PARAMETERS angstrom
5.0775 0.0000 0.0000
-2.5388 7.6334 0.0265
0.0000 -2.5655 7.6137